1.
VASP calculation (GGA-PBE) on a relaxed LiLa2PrTl4 crystal.

Geometry as POSCAR:
```
LiLa2PrTl4
1.0
2.715 1.567 9.266
-2.715 1.567 9.266
0.000 -3.135 9.266
Li La Pr Tl
1 2 1 4
Cartesian
0.000 0.000 0.000
0.000 0.000 7.136
0.000 0.000 20.662
0.000 0.000 13.899
0.000 0.000 3.441
0.000 0.000 10.380
0.000 0.000 17.418
0.000 0.000 24.357
```

- electronic total energy (eV/atom) = -3.6279
- total magnetization (μB per formula unit) = 0.0
- space-group type = R-3m
- DFT formation energy (kcal/mol of atoms) = -8.7
- density (g/cm3) = 8.7

=====

2.
VASP calculation (GGA-PBE) on a relaxed Li2La2PrTl2 crystal.

Geometry as POSCAR:
```
Li2La2PrTl2
1.0
2.453 1.416 9.182
-2.453 1.416 9.182
0.000 -2.832 9.182
Li La Pr Tl
2 2 1 2
Cartesian
0.000 0.000 2.680
0.000 0.000 24.866
0.000 0.000 10.016
0.000 0.000 17.530
0.000 0.000 13.773
0.000 0.000 6.466
0.000 0.000 21.079
```

- electronic total energy (eV/atom) = -3.5510
- total magnetization (μB per formula unit) = 0.0
- space-group type = R-3m
- DFT formation energy (kcal/mol of atoms) = -5.5
- density (g/cm3) = 7.3

=====

3.
VASP calculation (GGA-PBE) on a relaxed Li2LaPrTl4 crystal.

Geometry as POSCAR:
```
Li2LaPrTl4
1.0
2.671 1.542 8.705
-2.671 1.542 8.705
0.000 -3.084 8.705
Li La Pr Tl
2 1 1 4
Cartesian
0.000 0.000 6.541
0.000 0.000 19.574
0.000 0.000 13.057
0.000 0.000 0.000
0.000 0.000 3.251
0.000 0.000 9.772
0.000 0.000 16.342
0.000 0.000 22.864
```

- electronic total energy (eV/atom) = -3.2245
- total magnetization (μB per formula unit) = 0.0
- space-group type = R-3m
- DFT formation energy (kcal/mol of atoms) = -8.1
- density (g/cm3) = 8.6

=====

no.,calculated volume (Å³/f.u.)
1,237
2,191
3,215